(1)
A geometry-optimized LiAcMgIn2 structure. Source: Alexandria, functional PBE.

## Properties
* VASP energy: -14.72 eV/f.u.

```
data_LiAcMgIn2
_space_group_name_H-M_alt 'I -4 m 2'
_space_group_IT_number 119
_space_group_name_Hall 'I -4 -2'
_cell_length_a 4.7348
_cell_length_b 4.7348
_cell_length_c 12.2652
_cell_angle_alpha 90.00
_cell_angle_beta 90.00
_cell_angle_gamma 90.00
loop_
_atom_site_label
_atom_site_fract_x
_atom_site_fract_y
_atom_site_fract_z
Li1 0.0000 0.0000 0.0000
Ac1 0.0000 0.5000 0.2500
Mg1 0.0000 0.0000 0.5000
In1 0.0000 0.5000 0.6341
```

(2)
A geometry-optimized Li2AcNdIn4 structure. Source: Alexandria, functional PBE.

## Properties
* VASP energy: -26.52 eV/f.u.

```
data_Li2AcNdIn4
_space_group_name_H-M_alt 'R -3 m'
_space_group_IT_number 166
_space_group_name_Hall '-R 3 2"'
_cell_length_a 5.3287
_cell_length_b 5.3287
_cell_length_c 26.4995
_cell_angle_alpha 90.00
_cell_angle_beta 90.00
_cell_angle_gamma 120.00
loop_
_atom_site_label
_atom_site_fract_x
_atom_site_fract_y
_atom_site_fract_z
Li1 0.0000 0.0000 0.2478
Ac1 0.0000 0.0000 0.0000
Nd1 0.0000 0.0000 0.5000
In1 0.0000 0.0000 0.1278
In2 0.0000 0.0000 0.3801
```

(3)
A geometry-optimized Li2Ac2NdIn2 structure. Source: Alexandria, functional PBE.

## Properties
* VASP energy: -24.05 eV/f.u.

```
data_Li2Ac2NdIn2
_space_group_name_H-M_alt 'R -3 m'
_space_group_IT_number 166
_space_group_name_Hall '-R 3 2"'
_cell_length_a 5.0310
_cell_length_b 5.0310
_cell_length_c 28.8709
_cell_angle_alpha 90.00
_cell_angle_beta 90.00
_cell_angle_gamma 120.00
loop_
_atom_site_label
_atom_site_fract_x
_atom_site_fract_y
_atom_site_fract_z
Li1 0.0000 0.0000 0.1150
Ac1 0.0000 0.0000 0.3752
Nd1 0.0000 0.0000 0.5000
In1 0.0000 0.0000 0.2287
```

The highest VASP energy belongs to which entry?
LiAcMgIn2

Repeat the second record exactly.
A geometry-optimized Li2AcNdIn4 structure. Source: Alexandria, functional PBE.

## Properties
* VASP energy: -26.52 eV/f.u.

```
data_Li2AcNdIn4
_space_group_name_H-M_alt 'R -3 m'
_space_group_IT_number 166
_space_group_name_Hall '-R 3 2"'
_cell_length_a 5.3287
_cell_length_b 5.3287
_cell_length_c 26.4995
_cell_angle_alpha 90.00
_cell_angle_beta 90.00
_cell_angle_gamma 120.00
loop_
_atom_site_label
_atom_site_fract_x
_atom_site_fract_y
_atom_site_fract_z
Li1 0.0000 0.0000 0.2478
Ac1 0.0000 0.0000 0.0000
Nd1 0.0000 0.0000 0.5000
In1 0.0000 0.0000 0.1278
In2 0.0000 0.0000 0.3801
```

The highest VASP energy belongs to which entry?
LiAcMgIn2

What did the second record say?
A geometry-optimized Li2AcNdIn4 structure. Source: Alexandria, functional PBE.

## Properties
* VASP energy: -26.52 eV/f.u.

```
data_Li2AcNdIn4
_space_group_name_H-M_alt 'R -3 m'
_space_group_IT_number 166
_space_group_name_Hall '-R 3 2"'
_cell_length_a 5.3287
_cell_length_b 5.3287
_cell_length_c 26.4995
_cell_angle_alpha 90.00
_cell_angle_beta 90.00
_cell_angle_gamma 120.00
loop_
_atom_site_label
_atom_site_fract_x
_atom_site_fract_y
_atom_site_fract_z
Li1 0.0000 0.0000 0.2478
Ac1 0.0000 0.0000 0.0000
Nd1 0.0000 0.0000 0.5000
In1 0.0000 0.0000 0.1278
In2 0.0000 0.0000 0.3801
```